Nd2TmPt2 PBE-GGA relaxed; magnetic moment = 0.00 μB per cell; density of states at the Fermi level = 0.761 states/eV/atom; formation energy from the elements = -0.9577 eV/atom; total energy = -30.877 eV per cell
1.0
-2.015 3.374 4.737
2.015 -3.374 4.737
2.015 3.374 -4.737
Nd Tm Pt
2 1 2
Cartesian
0.000 0.000 1.836
0.000 0.000 7.637
0.000 3.374 0.000
2.015 1.434 0.000
0.000 1.940 4.737